## A
Entry from the Alexandria database: a geometry-optimized Pm2MgS4 structure (PBE).

Summary:
SG ... I-42d

Unit cell a=7.3276 b=7.3276 c=7.3276 alpha=110.90 beta=110.90 gamma=106.65
With the nearest neighbours (Å) after each atom.
Atoms (fractional coordinates):
Pm: 0.8750 0.7567 0.3817  6 S 2.76-3.00
Pm: 0.5067 0.1250 0.8817  6 S 2.76-3.00
Pm: 0.3750 0.4933 0.6183  6 S 2.76-3.00
Pm: 0.2433 0.6250 0.1183  6 S 2.76-3.00
Mg: 0.0000 0.0000 0.0000  4 S 2.62
Mg: 0.7500 0.2500 0.5000  4 S 2.62
S: 0.5072 0.3775 0.2665  1 Mg 2.62, 2 Pm 2.76-2.85
S: 0.7593 0.4928 0.8703  1 Mg 2.62, 2 Pm 2.76-2.85
S: 0.1110 0.2407 0.7335  1 Mg 2.62, 2 Pm 2.76-2.85
S: 0.6225 0.8890 0.1297  1 Mg 2.62, 2 Pm 2.76-2.85
S: 0.2428 0.0093 0.3703  1 Mg 2.62, 2 Pm 2.76-2.85
S: 0.9907 0.3610 0.2335  1 Mg 2.62, 2 Pm 2.76-2.85
S: 0.6390 0.8725 0.6297  1 Mg 2.62, 2 Pm 2.76-2.85
S: 0.1275 0.7572 0.7665  1 Mg 2.62, 2 Pm 2.76-2.85


## B
Entry from the Alexandria database: a geometry-optimized Pm2MgS4 structure (PBE).

Summary:
SG ... Fd-3m

Unit cell a=8.0766 b=8.0766 c=8.0766 alpha=60.00 beta=60.00 gamma=60.00
With the nearest neighbours (Å) after each atom.
Atoms (fractional coordinates):
Pm: 0.6250 0.1250 0.6250  6 S 2.82
Pm: 0.6250 0.6250 0.1250  6 S 2.82
Pm: 0.1250 0.6250 0.6250  6 S 2.82
Pm: 0.6250 0.6250 0.6250  6 S 2.82
Mg: 0.0000 0.0000 0.0000  4 S 2.53
Mg: 0.2500 0.2500 0.2500  4 S 2.53
S: 0.3780 0.3780 0.3780  1 Mg 2.53, 3 Pm 2.82
S: 0.8660 0.3780 0.3780  1 Mg 2.53, 3 Pm 2.82
S: 0.3780 0.8660 0.3780  1 Mg 2.53, 3 Pm 2.82
S: 0.3780 0.3780 0.8660  1 Mg 2.53, 3 Pm 2.82
S: 0.8720 0.8720 0.3840  1 Mg 2.53, 3 Pm 2.82
S: 0.8720 0.3840 0.8720  1 Mg 2.53, 3 Pm 2.82
S: 0.3840 0.8720 0.8720  1 Mg 2.53, 3 Pm 2.82
S: 0.8720 0.8720 0.8720  1 Mg 2.53, 3 Pm 2.82


It is B that is most stable; the runner-up trails by 18 meV/atom.


## A
Entry from the Alexandria database: a geometry-optimized PmMgSb structure (PBE).

Summary:
SG ... I4mm

Unit cell a=4.1931 b=4.1931 c=5.5850 alpha=112.05 beta=112.05 gamma=90.00
With the nearest neighbours (Å) after each atom.
Atoms (fractional coordinates):
Sb: 0.2777 0.2777 0.5554  5 Mg 3.08-3.39, 5 Pm 3.24-3.32
Mg: 0.9519 0.9519 0.9039  5 Sb 3.08-3.39, 5 Pm 3.14-3.37
Pm: 0.6203 0.6203 0.2407  5 Mg 3.14-3.37, 5 Sb 3.24-3.32


## B
Entry from the Alexandria database: a geometry-optimized PmMgSb structure (PBE).

Summary:
SG ... P3m1

Unit cell a=4.1150 b=4.7329 c=4.7329 alpha=120.00 beta=90.00 gamma=90.00
With the nearest neighbours (Å) after each atom.
Atoms (fractional coordinates):
Sb: 0.1673 0.3333 0.6667  3 Mg 2.73
Mg: 0.1659 0.0000 0.0000  3 Sb 2.73
Pm: 0.6668 0.6667 0.3333  6 Mg 3.42, 6 Sb 3.42


It is B that is most stable; the runner-up trails by 228 meV/atom.


## A
Entry from the Alexandria database: a geometry-optimized Pm2MgSc structure (PBE).

Summary:
SG ... P4/mmm

Unit cell a=3.7429 b=5.5628 c=5.5628 alpha=90.00 beta=90.00 gamma=90.00
With the nearest neighbours (Å) after each atom.
Atoms (fractional coordinates):
Sc: 0.5000 0.0000 0.0000  8 Pm 3.35, 2 Sc 3.74
Mg: 0.5000 0.5000 0.5000  8 Pm 3.35, 2 Mg 3.74
Pm: 0.0000 0.0000 0.5000  4 Mg 3.35, 4 Sc 3.35, 2 Pm 3.74
Pm: 0.0000 0.5000 0.0000  4 Mg 3.35, 4 Sc 3.35, 2 Pm 3.74


## B
Entry from the Alexandria database: a geometry-optimized Pm2MgSc structure (PBE).

Summary:
SG ... R-3m

Unit cell a=3.4122 b=3.4122 c=12.2873 alpha=82.02 beta=82.02 gamma=60.00
With the nearest neighbours (Å) after each atom.
Atoms (fractional coordinates):
Sc: 0.5000 0.5000 0.5000  6 Pm 3.38, 6 Sc 3.41
Mg: 0.0000 0.0000 0.0000  2 Pm 3.32, 6 Mg 3.41
Pm: 0.0913 0.0913 0.7260  1 Mg 3.32, 3 Sc 3.38, 6 Pm 3.41
Pm: 0.9087 0.9087 0.2740  1 Mg 3.32, 3 Sc 3.38, 6 Pm 3.41


## C
Entry from the Alexandria database: a geometry-optimized Pm2MgSc structure (PBE).

Summary:
SG ... Fm-3m

Unit cell a=5.4713 b=5.4713 c=5.4713 alpha=60.00 beta=60.00 gamma=60.00
With the nearest neighbours (Å) after each atom.
Atoms (fractional coordinates):
Sc: 0.5000 0.5000 0.5000  8 Pm 3.35
Mg: 0.0000 0.0000 0.0000  8 Pm 3.35
Pm: 0.2500 0.2500 0.2500  4 Sc 3.35, 4 Mg 3.35
Pm: 0.7500 0.7500 0.7500  4 Sc 3.35, 4 Mg 3.35


## D
Entry from the Alexandria database: a geometry-optimized Pm2MgSc structure (PBE).

Summary:
SG ... R3m

Unit cell a=3.4526 b=3.4526 c=11.5738 alpha=81.42 beta=81.42 gamma=60.00
With the nearest neighbours (Å) after each atom.
Atoms (fractional coordinates):
Pm: 0.0806 0.0806 0.7582  3 Sc 3.40, 6 Pm 3.45, 3 Mg 3.55
Pm: 0.2528 0.2528 0.2416  3 Sc 3.41, 6 Pm 3.45, 3 Mg 3.56
Mg: 0.4998 0.4998 0.5007  6 Mg 3.45, 6 Pm 3.55-3.56
Sc: 0.6669 0.6669 0.9994  6 Pm 3.40-3.41, 6 Sc 3.45


It is A that is most stable; the runner-up trails by 13 meV/atom.


## A
Entry from the Alexandria database: a geometry-optimized PmMgSc structure (PBE).

Summary:
SG ... P3m1

Unit cell a=3.3243 b=5.3398 c=5.3398 alpha=120.00 beta=90.00 gamma=90.00
With the nearest neighbours (Å) after each atom.
Atoms (fractional coordinates):
Sc: 0.0916 0.0000 0.0000  3 Mg 3.13, 2 Sc 3.32, 3 Pm 3.42
Mg: 0.2603 0.3333 0.6667  3 Sc 3.13, 2 Mg 3.32, 3 Pm 3.34
Pm: 0.6482 0.6667 0.3333  2 Pm 3.32, 6 Mg 3.34-3.69, 6 Sc 3.42-3.60


## B
Entry from the Alexandria database: a geometry-optimized PmMgSc structure (PBE).

Summary:
SG ... I4mm

Unit cell a=3.5191 b=3.5191 c=7.0655 alpha=104.42 beta=104.42 gamma=90.00
With the nearest neighbours (Å) after each atom.
Atoms (fractional coordinates):
Sc: 0.0088 0.0088 0.0176  4 Mg 3.16, 4 Pm 3.39, 4 Sc 3.52
Mg: 0.6567 0.6567 0.3134  4 Sc 3.16, 4 Pm 3.42, 4 Mg 3.52
Pm: 0.3345 0.3345 0.6690  4 Sc 3.39, 4 Mg 3.42, 4 Pm 3.52


It is B that is most stable; the runner-up trails by 79 meV/atom.


## A
Entry from the Alexandria database: a geometry-optimized PmMgSc structure (PBE).

Summary:
SG ... P2_1/m

Unit cell a=5.3185 b=3.3092 c=11.1955 alpha=72.88 beta=61.61 gamma=90.00
With the nearest neighbours (Å) after each atom.
Atoms (fractional coordinates):
Pm: 0.8976 0.0623 0.7435  4 Pm 3.04-3.31, 1 Mg 3.18
Pm: 0.5565 0.2209 0.5848  4 Pm 3.04-3.31, 1 Mg 3.17
Mg: 0.8980 0.5631 0.2429  4 Mg 3.03-3.31, 1 Pm 3.17, 2 Sc 3.36-3.37
Mg: 0.5556 0.7219 0.0857  4 Mg 3.03-3.31, 1 Pm 3.18, 2 Sc 3.36-3.37
Sc: 0.2138 0.3793 0.9273  2 Sc 3.31, 6 Mg 3.36-3.46, 6 Pm 3.57-3.58
Sc: 0.2402 0.9047 0.4009  2 Sc 3.31, 6 Mg 3.36-3.46, 6 Pm 3.56-3.59


## B
Entry from the Alexandria database: a geometry-optimized PmMgSc structure (PBE).

Summary:
SG ... Pmn2_1

Unit cell a=3.3996 b=3.4035 c=14.5865 alpha=90.00 beta=76.50 gamma=90.00
With the nearest neighbours (Å) after each atom.
Atoms (fractional coordinates):
Pm: 0.1275 0.2909 0.5017  4 Pm 3.40, 4 Mg 3.44-3.45, 4 Sc 3.46-3.47
Pm: 0.1176 0.7909 0.0106  4 Pm 3.40, 4 Mg 3.44-3.45, 4 Sc 3.47
Mg: 0.4435 0.2927 0.1848  8 Mg 3.14-3.40, 4 Pm 3.44-3.45
Mg: 0.8008 0.7928 0.3277  8 Mg 3.14-3.40, 4 Pm 3.44-3.45
Sc: 0.7941 0.2897 0.8345  8 Sc 3.28-3.40, 4 Pm 3.47
Sc: 0.4511 0.7897 0.6776  8 Sc 3.28-3.40, 4 Pm 3.46-3.47


## C
Entry from the Alexandria database: a geometry-optimized PmMgSc structure (PBE).

Summary:
SG ... Pmmm

Unit cell a=5.0706 b=5.5337 c=6.6253 alpha=90.00 beta=90.00 gamma=90.00
With the nearest neighbours (Å) after each atom.
Atoms (fractional coordinates):
Pm: 0.0000 0.5001 0.2500  4 Mg 3.22-3.23, 2 Pm 3.31
Pm: 0.0000 0.4999 0.7500  4 Mg 3.22-3.23, 2 Pm 3.31
Mg: 0.0000 0.0000 0.0000  4 Sc 3.03, 4 Pm 3.22-3.23, 2 Mg 3.31
Mg: 0.0000 0.0000 0.5000  4 Sc 3.03, 4 Pm 3.22-3.23, 2 Mg 3.31
Sc: 0.5000 0.0003 0.2500  4 Mg 3.03, 2 Sc 3.31
Sc: 0.5000 0.9997 0.7500  4 Mg 3.03, 2 Sc 3.31


It is B that is most stable; the runner-up trails by 89 meV/atom.


## A
Entry from the Alexandria database: a geometry-optimized Pm4MgSc structure (PBE).

Summary:
SG ... P4/mmm

Unit cell a=3.6150 b=3.6150 c=14.1660 alpha=90.00 beta=90.00 gamma=90.00
With the nearest neighbours (Å) after each atom.
Atoms (fractional coordinates):
Pm: 0.5000 0.5000 0.1633  4 Sc 3.45, 8 Pm 3.60-3.62
Pm: 0.0000 0.0000 0.6578  4 Mg 3.40, 8 Pm 3.60-3.62
Pm: 0.0000 0.0000 0.3422  4 Mg 3.40, 8 Pm 3.60-3.62
Pm: 0.5000 0.5000 0.8367  4 Sc 3.45, 8 Pm 3.60-3.62
Mg: 0.5000 0.5000 0.5000  8 Pm 3.40, 4 Mg 3.62
Sc: 0.0000 0.0000 0.0000  8 Pm 3.45, 4 Sc 3.62


## B
Entry from the Alexandria database: a geometry-optimized Pm4MgSc structure (PBE).

Summary:
SG ... C2/m

Unit cell a=5.5806 b=6.5163 c=6.5992 alpha=95.61 beta=64.99 gamma=64.65
With the nearest neighbours (Å) after each atom.
Atoms (fractional coordinates):
Pm: 0.6413 0.6743 0.0430  1 Mg 3.23, 5 Pm 3.35-3.60, 2 Sc 3.44
Pm: 0.3587 0.3257 0.9570  1 Mg 3.23, 5 Pm 3.35-3.60, 2 Sc 3.44
Pm: 0.1518 0.1945 0.5019  2 Mg 3.32, 6 Pm 3.35-3.61, 1 Sc 3.54
Pm: 0.8482 0.8055 0.4981  2 Mg 3.32, 6 Pm 3.35-3.61, 1 Sc 3.54
Mg: 0.5000 0.5000 0.5000  6 Pm 3.23-3.32, 2 Sc 3.41
Sc: 0.0000 0.0000 0.0000  2 Mg 3.41, 6 Pm 3.44-3.54


It is A that is most stable; the runner-up trails by 55 meV/atom.


## A
Entry from the Alexandria database: a geometry-optimized PmMgSc2 structure (PBE).

Summary:
SG ... P4mm

Unit cell a=3.3806 b=3.3806 c=9.2968 alpha=90.00 beta=90.00 gamma=90.00
With the nearest neighbours (Å) after each atom.
Atoms (fractional coordinates):
Pm: 0.5000 0.5000 0.2519  4 Pm 3.38, 4 Mg 3.44, 4 Sc 3.46
Mg: 0.0000 0.0000 0.5182  4 Sc 3.20, 4 Mg 3.38, 4 Pm 3.44
Sc: 0.0000 0.0000 0.9824  8 Sc 3.24-3.38, 4 Pm 3.46
Sc: 0.5000 0.5000 0.7476  4 Mg 3.20, 8 Sc 3.24-3.38


## B
Entry from the Alexandria database: a geometry-optimized PmMgSc2 structure (PBE).

Summary:
SG ... R3m

Unit cell a=3.3739 b=3.3739 c=11.0086 alpha=81.19 beta=81.19 gamma=60.00
With the nearest neighbours (Å) after each atom.
Atoms (fractional coordinates):
Pm: 0.5004 0.5004 0.4989  6 Pm 3.37, 6 Sc 3.45-3.47
Mg: 0.6665 0.6665 0.0006  6 Sc 3.21-3.22, 6 Mg 3.37
Sc: 0.0785 0.0785 0.7644  3 Mg 3.22, 6 Sc 3.37, 3 Pm 3.47
Sc: 0.2547 0.2547 0.2360  3 Mg 3.21, 6 Sc 3.37, 3 Pm 3.45


It is A that is most stable; the runner-up trails by 74 meV/atom.


## A
Entry from the Alexandria database: a geometry-optimized Pm2Mg4Sc structure (PBE).

Summary:
SG ... I4/mmm

Unit cell a=5.3532 b=5.3532 c=8.9116 alpha=107.48 beta=107.48 gamma=90.00
With the nearest neighbours (Å) after each atom.
Atoms (fractional coordinates):
Pm: 0.6116 0.6116 0.2233  5 Mg 3.23-3.38, 1 Pm 3.60
Pm: 0.3884 0.3884 0.7767  5 Mg 3.23-3.38, 1 Pm 3.60
Mg: 0.8213 0.8213 0.6425  1 Sc 2.88
Mg: 0.1787 0.1787 0.3575  1 Sc 2.88
Mg: 0.0000 0.5000 0.0000  2 Sc 2.68
Mg: 0.5000 0.0000 0.0000  2 Sc 2.68
Sc: 0.0000 0.0000 0.0000  6 Mg 2.68-2.88


## B
Entry from the Alexandria database: a geometry-optimized Pm2Mg4Sc structure (PBE).

Summary:
SG ... R-3m

Unit cell a=5.2843 b=5.2843 c=8.3264 alpha=71.50 beta=71.50 gamma=60.00
With the nearest neighbours (Å) after each atom.
Atoms (fractional coordinates):
Pm: 0.7132 0.7132 0.8604  3 Sc 3.24, 5 Mg 3.28-3.49
Pm: 0.2868 0.2868 0.1396  3 Sc 3.24, 5 Mg 3.28-3.49
Mg: 0.8636 0.8636 0.4093  1 Sc 3.17, 6 Mg 3.18-3.36, 1 Pm 3.49
Mg: 0.1364 0.1364 0.5907  1 Sc 3.17, 6 Mg 3.18-3.36, 1 Pm 3.49
Mg: 0.5685 0.5685 0.2945  4 Mg 3.18, 4 Pm 3.28-3.36
Mg: 0.4315 0.4315 0.7055  4 Mg 3.18, 4 Pm 3.28-3.36
Sc: 0.0000 0.0000 0.0000  2 Mg 3.17, 6 Pm 3.24


It is B that is most stable; the runner-up trails by 435 meV/atom.